Entry 1:
TbOs2PbO8, optimized geometry, DFT GGA-PBE; formation energy from raw total energies = -15.70 eV/f.u.
1.0
-1.7140 -0.8459 5.7061
-0.0156 -4.6149 -3.8621
6.7485 -1.5295 1.8004
Tb Os Pb O
1 2 1 8
Cartesian
3.3743 -0.7648 0.9002
0.3347 -2.4383 2.9122
4.6842 -4.5521 0.7322
0.0000 0.0000 0.0000
-0.3751 -3.4054 -0.6175
1.4013 -1.4814 1.7560
0.5302 -1.9030 4.6631
5.3940 -3.5850 4.2620
4.4887 -5.0874 -1.0187
3.6176 -5.5090 1.8884
4.4998 -2.7320 0.9409
0.5191 -4.2584 2.7036

=====

Entry 2:
TeOsPbO6, optimized geometry, DFT GGA-PBE; formation energy from raw total energies = -8.03 eV/f.u.
1.0
-0.0571 3.7750 6.3558
-7.1344 -0.1015 -0.0038
3.6577 -6.2876 -0.5319
Te Os Pb O
2 2 2 12
Cartesian
1.8003 -1.2563 2.9120
1.8288 -3.1438 -0.2659
-3.5958 1.8368 3.1760
-0.0285 1.8875 3.1779
-1.7562 -2.1626 5.5680
-1.7777 -0.4515 0.2522
-1.7278 -4.0384 2.3831
1.7940 -0.8880 4.8428
0.3466 1.6739 5.1786
-3.9420 -0.0299 2.4112
0.3715 0.0315 2.4135
-3.9668 1.6125 5.1763
-1.8061 1.4244 3.4370
-5.3278 -1.7261 0.9774
-3.8804 -4.2879 0.6415
0.4081 -2.5842 3.4090
-3.9053 -2.6456 3.4067
0.4330 -4.2265 0.6438

=====

Entry 3:
ThOsPb2O8, optimized geometry, DFT GGA-PBE; formation energy from raw total energies = -19.37 eV/f.u.
1.0
-3.6984 2.7220 -2.5668
-1.1992 -4.3861 -2.9424
-4.6285 -1.8751 4.6809
Th Os Pb O
1 1 2 8
Cartesian
-2.3142 -0.9375 2.3405
0.0000 0.0000 0.0000
-5.9446 -2.2482 0.7809
-3.5814 -1.2910 -1.6092
-2.5148 -3.5346 -1.7632
-8.2712 -3.4042 0.4665
-4.3611 1.0690 -1.7453
-7.0112 -0.0047 0.9349
-1.2548 -0.1350 -1.2948
-5.1649 -4.6082 0.9169
-5.6926 -2.2160 -1.5121
-3.8334 -1.3232 0.6838

=====

Entry 4:
TiOsPb2O6, optimized geometry, DFT GGA-PBE; formation energy from raw total energies = -15.46 eV/f.u.
1.0
5.7543 0.0000 0.0000
2.8771 4.9833 0.0000
2.8771 1.6611 9.3054
Ti Os Pb O
2 2 4 12
Cartesian
5.7543 3.3222 1.9734
5.7543 3.3222 7.3320
0.0000 0.0000 0.0000
5.7543 3.3222 4.6527
8.6314 4.9833 3.8931
2.8771 1.6611 5.4122
8.6314 4.9833 7.7038
2.8771 1.6611 1.6016
7.1581 2.5117 3.4690
5.7543 4.9432 3.4690
4.3505 2.5117 3.4690
4.3505 4.1327 5.8364
5.7543 1.7013 5.8364
7.1581 4.1327 5.8364
7.1960 2.4898 8.2092
5.7543 4.9870 8.2092
4.3125 2.4898 8.2092
4.3125 4.1546 1.0961
5.7543 1.6574 1.0961
7.1960 4.1546 1.0961

=====

Entry 5:
Tl3OsPb2O6, optimized geometry, DFT GGA-PBE; formation energy from raw total energies = -9.94 eV/f.u.
1.0
6.1687 0.2115 0.1092
-2.8996 5.4488 0.1092
-0.9793 -1.6956 6.2060
Tl Os Pb O
3 1 2 6
Cartesian
-1.8625 3.7193 3.2122
4.1523 0.2455 3.2122
1.1449 1.9824 3.2122
0.0000 0.0000 0.0000
0.0901 3.7221 0.1092
3.1789 1.9382 0.1092
3.0940 2.4675 5.3910
2.5220 4.3669 1.5395
-0.8042 1.4972 1.0334
0.5910 3.9131 5.3910
-0.2322 -0.4021 4.8849
1.6988 0.0516 1.0334

=====

Entry 6:
TlOs2PbO8, optimized geometry, DFT GGA-PBE; formation energy from raw total energies = -10.86 eV/f.u.
1.0
6.2070 0.0000 0.0000
-3.1035 5.3754 0.0000
0.0000 0.0000 7.9604
Tl Os Pb O
1 2 1 8
Cartesian
0.0000 0.0000 3.9802
3.1035 1.7918 1.3382
0.0000 3.5836 6.6222
0.0000 0.0000 0.0000
0.0000 3.5836 0.4347
1.6049 0.9275 1.8164
4.6013 0.9261 1.8164
3.1035 1.7918 7.5257
-1.4978 4.4493 6.1440
1.4986 4.4479 6.1440
-0.0008 1.8536 6.1440
3.1043 3.5218 1.8164

=====

Entry 7:
TlOsPb2O8, optimized geometry, DFT GGA-PBE; formation energy from raw total energies = -10.27 eV/f.u.
1.0
5.0004 -0.0633 -0.0029
-0.0371 4.9953 -0.0053
0.0043 0.0076 7.0763
Tl Os Pb O
1 1 2 8
Cartesian
0.0022 0.0038 3.5382
0.0000 0.0000 0.0000
2.4851 2.4719 5.3304
2.4826 2.4677 1.7378
0.8624 4.0823 1.4324
3.6172 3.6085 -0.0058
4.1030 0.8530 1.4338
4.1053 0.8573 5.6358
1.3505 1.3311 7.0740
0.8648 4.0866 5.6343
3.4406 3.4314 3.5324
1.5271 1.5082 3.5358

=====

Entry 8:
Tl2OsPbO4, optimized geometry, DFT GGA-PBE; formation energy from raw total energies = -5.55 eV/f.u.
1.0
5.8402 0.1521 0.2330
-2.3509 5.3483 -0.2330
-2.3509 -2.3657 4.8024
Tl Os Pb O
2 1 1 4
Cartesian
0.5692 3.4959 1.1423
0.0000 0.0000 0.0000
-2.3509 1.4913 2.2847
0.5692 -0.3611 3.6600
1.9365 0.7455 1.8813
-1.8893 -0.0078 3.3628
3.3387 2.9454 1.1374
-1.1088 2.5865 3.2232

=====

Entry 9:
Tl2OsPb2O6, optimized geometry, DFT GGA-PBE; formation energy from raw total energies = -10.17 eV/f.u.
1.0
-2.5885 -4.2906 3.3902
-0.6667 -0.5569 -5.9874
6.1212 -2.2353 0.3645
Tl Os Pb O
2 1 2 6
Cartesian
-2.2661 -3.6641 1.8168
-0.9891 -1.1833 -4.4140
3.0606 -1.1177 0.1822
1.7486 -2.9283 -2.6561
1.1174 -4.1545 0.4235
1.6469 -5.5468 -1.8709
3.7120 -1.8238 -1.5412
1.2191 -1.5360 -0.3617
3.1740 -2.8690 1.0840
-0.8460 -5.2590 -0.6915
-0.3080 -4.2138 -3.3167

=====

Entry 10:
TlOsPb2O6, optimized geometry, DFT GGA-PBE; formation energy from raw total energies = -10.20 eV/f.u.
1.0
5.7618 0.0000 0.0202
0.0000 6.6606 0.0000
0.0758 0.0000 8.5148
Tl Os Pb O
2 2 4 12
Cartesian
2.8809 0.0000 0.0101
0.0379 3.3303 4.2574
2.9188 0.0000 4.2675
0.0000 3.3303 0.0000
0.0409 6.5013 2.3631
2.9597 3.4896 6.6306
5.7967 0.1593 6.1718
2.8779 3.1710 1.9043
1.7028 4.2870 0.0982
4.6216 5.7038 4.3657
4.1348 2.3735 8.4367
1.2160 0.9568 4.1692
2.1147 5.3242 3.1826
5.0335 4.6667 7.4501
3.7229 1.3364 5.3523
0.8041 1.9939 1.0848
5.0910 4.1961 1.5928
2.2480 5.7948 5.8401
0.7466 2.4645 6.9421
3.5896 0.8658 2.6948

=====

Entry 11:
Tl2OsPbO6, optimized geometry, DFT GGA-PBE; formation energy from raw total energies = -8.54 eV/f.u.
1.0
6.2676 0.0000 0.0000
0.0000 6.3498 0.0000
0.0000 -3.1749 5.4991
Tl Os Pb O
2 1 1 6
Cartesian
0.3085 0.0000 3.6661
5.9590 3.1749 1.8330
0.0000 0.0000 0.0000
3.1338 0.0000 0.0000
5.1483 0.0000 1.5277
5.1483 -1.8519 4.7353
5.1483 1.8519 4.7353
1.1192 5.0268 0.7639
1.1192 1.3230 0.7639
1.1192 3.1749 3.9714

=====

Entry 12:
TlOsPbO6, optimized geometry, DFT GGA-PBE; formation energy from raw total energies = -7.66 eV/f.u.
1.0
-1.4082 -1.2752 -5.3823
-2.8009 -4.8391 -1.1472
-4.1763 2.2866 0.5510
Tl Os Pb O
1 1 1 6
Cartesian
-5.5843 1.0113 -4.8312
-3.4912 -0.8948 -1.9009
-4.8939 -2.9331 -4.0774
-2.1792 -1.1003 -0.5269
-3.6630 0.9669 -1.5064
-4.8434 -0.7701 -3.2451
-4.7986 -1.3311 -0.5775
-3.3195 -2.7346 -2.3877
-2.1434 -0.3998 -3.1616